[1]
The following is a GGA-PBE calculation of a relaxed YTc2Pb crystal, from Alexandria via LeMat-Bulk.

Output
For the total magnetization, the calculation gives 0.0 μB/f.u. The value obtained for the total energy is -7.482 eV per atom. The calculated formation energy comes out at 244.2 meV per atom. The crystal system is monoclinic.

CIF file:
```
data_YTc2Pb
_symmetry_space_group_name_H-M 'P 1 m 1'
_symmetry_Int_Tables_number 6
_cell_length_a 3.411
_cell_length_b 4.446
_cell_length_c 5.728
_cell_angle_alpha 90.00
_cell_angle_beta 106.14
_cell_angle_gamma 90.00
loop_
_symmetry_equiv_pos_as_xyz
'x,y,z'
'x,-y,z'
loop_
_atom_site_label
_atom_site_type_symbol
_atom_site_fract_x
_atom_site_fract_y
_atom_site_fract_z
Y1 Y 0.000 0.000 0.000
Tc1 Tc 0.328 0.500 0.726
Tc2 Tc 0.447 0.000 0.560
Pb1 Pb 0.653 0.500 0.292
```

[2]
The following is a GGA-PBE calculation of a relaxed NdYAs crystal, from Alexandria via LeMat-Bulk.

Output
For the total magnetization, the calculation gives 0.0 μB/f.u. The value obtained for the total energy is -6.141 eV per atom. The calculated formation energy comes out at -847.5 meV per atom. The crystal system is trigonal.

CIF file:
```
data_NdYAs
_symmetry_space_group_name_H-M 'R -3'
_symmetry_Int_Tables_number 148
_symmetry_space_group_name_Hall '-R 3'
_cell_length_a 12.4706
_cell_length_b 12.4706
_cell_length_c 11.7544
_cell_angle_alpha 90.00
_cell_angle_beta 90.00
_cell_angle_gamma 120.00
loop_
_atom_site_label
_atom_site_type_symbol
_atom_site_fract_x
_atom_site_fract_y
_atom_site_fract_z
Nd1 Nd 0.0523 0.1949 0.3800
Y1 Y 0.0253 0.1984 0.8887
As1 As 0.0401 0.2733 0.1410
```

[3]
The following is a GGA-PBE calculation of a relaxed BaTlCdGe crystal, from Alexandria via LeMat-Bulk.

Output
For the total magnetization, the calculation gives 0.0 μB/f.u. The value obtained for the total energy is -2.618 eV per atom. The calculated formation energy comes out at -162.8 meV per atom. The crystal system is cubic.

CIF file:
```
data_BaTlCdGe
_symmetry_space_group_name_H-M 'F -4 3 m'
_symmetry_Int_Tables_number 216
_symmetry_space_group_name_Hall 'F -4 2 3'
_cell_length_a 7.797
_cell_length_b 7.797
_cell_length_c 7.797
_cell_angle_alpha 90.00
_cell_angle_beta 90.00
_cell_angle_gamma 90.00
loop_
_atom_site_label
_atom_site_type_symbol
_atom_site_fract_x
_atom_site_fract_y
_atom_site_fract_z
Ba1 Ba 0.000 0.000 0.000
Tl1 Tl 0.250 0.250 0.750
Cd1 Cd 0.000 0.000 0.500
Ge1 Ge 0.250 0.250 0.250
```

What is the formula in the first record?
YTc2Pb

Which of these has the lowest calculated formation energy?
NdYAs

calculated formation energy of number 2 (NdYAs)?
-847.5 meV per atom